# Ti5Fe3

Ti5Fe3 after structural relaxation (PBE, Alexandria).

Summary:
Space-group type ... P4/mmm (123)
DOS at the Fermi energy ... 7.8 states/eV/cell
Raw total energy ... -67.13 eV/f.u.
M_tot ... 0.000 μB per atom
Crystal system ... tetragonal

Cell lengths 2.9761, 2.9761, 12.4914 Å; angles 90.00, 90.00, 90.00 degrees
Fractional coordinates of all 8 atoms:
Ti 0.0000 0.0000 0.7655
Ti 0.0000 0.0000 0.0000
Ti 0.5000 0.5000 0.3827
Ti 0.0000 0.0000 0.2345
Ti 0.5000 0.5000 0.6173
Fe 0.0000 0.0000 0.5000
Fe 0.5000 0.5000 0.1181
Fe 0.5000 0.5000 0.8819